No. 1
The following is a GGA-PBE calculation of a geometry-optimized BeOs2S structure, from the Alexandria database.

Computed properties:
The value obtained for the magnetization is 0.000 μB/f.u. For the energy above the most stable polymorph in this dataset, the calculation gives 470 meV per atom. Its density of states at the Fermi level is 0.10 states/eV/atom. As for the formation energy (no corrections): 0.8232 eV/atom. The crystal system is tetragonal.

Cell lengths 5.1423, 5.1423, 9.8411 Å; angles 90.00, 90.00, 90.00 degrees
Last column: nearest neighbours and their distance in Å.
Space group I-42d (No. 122)
Asymmetric unit:
Be 0.0000 0.0000 0.0000 x4  4 Os 2.18
Os 0.2460 0.2500 0.1250 x8  2 Be 2.18, 2 S 2.21
S 0.0000 0.0000 0.5000 x4  4 Os 2.21



No. 2
The following is a GGA-PBE calculation of a geometry-optimized BeOsS2 structure, from the Alexandria database.

Computed properties:
The value obtained for the magnetization is 0.000 μB/f.u. Its density of states at the Fermi level is 0.00 states/eV/atom. As for the formation energy (no corrections): 0.0542 eV/atom. The crystal system is trigonal.

Cell lengths 3.7387, 3.7387, 17.8681 Å; angles 90.00, 90.00, 120.00 degrees
Last column: nearest neighbours and their distance in Å.
Space group R-3m (No. 166, hexagonal axes)
Asymmetric unit:
Be 0.0000 0.0000 0.0000 x3  2 S 1.92
Os 0.0000 0.0000 0.5000 x3  6 S 2.40
S 0.0000 0.0000 0.1076 x6  1 Be 1.92